Entry from the Alexandria database: crystalline SrTaZn at its relaxed geometry (PBE).

Unit cell a=3.241 b=3.241 c=7.587 alpha=90.00 beta=90.00 gamma=120.00
Positions (direct):
Sr: 0.000 0.000 0.997
Ta: 0.667 0.333 0.365
Zn: 0.333 0.667 0.638

ΔE_f: 703 meV/atom
ΔE to the lowest computed polymorph: 211 meV/atom
space group: P3m1 (156)
total magnetization: 0.0 μB/f.u.

---

Entry from the Alexandria database: crystalline TeAs2Pd7 at its relaxed geometry (PBE).

Unit cell a=4.312 b=7.213 c=7.213 alpha=117.95 beta=90.00 gamma=90.00
Positions (direct):
Te: 0.000 0.000 0.000
As: 0.500 0.692 0.308
As: 0.500 0.308 0.692
Pd: 0.000 0.778 0.222
Pd: 0.000 0.222 0.778
Pd: 0.500 0.065 0.307
Pd: 0.500 0.935 0.693
Pd: 0.500 0.307 0.065
Pd: 0.500 0.693 0.935
Pd: 0.500 0.500 0.500

ΔE to the lowest computed polymorph: 212 meV/atom
formation energy from raw total energies: -0.11 eV/atom
space group: Cmmm (65)
total magnetization: 0.0 μB/f.u.

---

- total magnetization of number 2 (TeAs2Pd7)?
  0.0 μB/f.u.

---

- Which formula does entry 2 have?
  TeAs2Pd7

---

What did the first record say?
Entry from the Alexandria database: crystalline SrTaZn at its relaxed geometry (PBE).

Unit cell a=3.241 b=3.241 c=7.587 alpha=90.00 beta=90.00 gamma=120.00
Positions (direct):
Sr: 0.000 0.000 0.997
Ta: 0.667 0.333 0.365
Zn: 0.333 0.667 0.638

ΔE_f: 703 meV/atom
ΔE to the lowest computed polymorph: 211 meV/atom
space group: P3m1 (156)
total magnetization: 0.0 μB/f.u.